VASP calculation (PBE-GGA) on Ag2HgGe2 after structural relaxation.

E above lowest polymorph: 15 meV/atom
Energy: -14.2 eV for the cell shown
Formation energy from the elements: 0.216 eV per atom
Magnetization: 0.00 Bohr magnetons per cell
Space-group type: I4/mmm

Unit cell a=3.855 b=3.855 c=7.477 alpha=75.06 beta=75.06 gamma=90.00
Atoms (fractional coordinates):
Ag (0.600, 0.600, 0.800)
Ge (0.250, 0.750, 0.500)
Hg (0.000, 0.000, 0.000)
Ge (0.750, 0.250, 0.500)
Ag (0.400, 0.400, 0.200)